Material: CsTe2SN
Method: DFT, PBE
State: relaxed

Calculated values
E above lowest polymorph = 1.557 eV/atom
Calculated total energy = -1.95 eV per atom
Fermi-level density of states = 5.0 states/eV/cell

```
data_CsTe2SN
_space_group_name_H-M_alt 'P 4/m m m'
_space_group_IT_number 123
_space_group_name_Hall '-P 4 2'
_cell_length_a 7.006
_cell_length_b 7.006
_cell_length_c 4.977
_cell_angle_alpha 90.00
_cell_angle_beta 90.00
_cell_angle_gamma 90.00
loop_
_atom_site_label
_atom_site_type_symbol
_atom_site_fract_x
_atom_site_fract_y
_atom_site_fract_z
_atom_site_occupancy
Cs1 Cs 0.000 0.000 0.000 1
Te1 Te 0.000 0.500 0.000 1
S1 S 0.500 0.500 0.500 1
N1 N 0.000 0.000 0.500 1
```

Material: KNa2SbBr6
Method: DFT, PBE
State: relaxed

Calculated values
Calculated total energy = -3.00 eV per atom
Fermi-level density of states = 0.0 states/eV/cell

```
data_KNa2SbBr6
_space_group_name_H-M_alt 'R 3'
_space_group_IT_number 146
_space_group_name_Hall 'R 3'
_cell_length_a 7.6386
_cell_length_b 7.6386
_cell_length_c 20.7009
_cell_angle_alpha 90.00
_cell_angle_beta 90.00
_cell_angle_gamma 120.00
loop_
_atom_site_label
_atom_site_type_symbol
_atom_site_fract_x
_atom_site_fract_y
_atom_site_fract_z
_atom_site_occupancy
K1 K 0.0000 0.0000 0.0000 1
Na1 Na 0.0000 0.0000 0.2862 1
Na2 Na 0.0000 0.0000 0.8051 1
Sb1 Sb 0.0000 0.0000 0.4816 1
Br1 Br 0.0027 0.3494 0.2211 1
Br2 Br 0.0295 0.6251 0.0629 1
```

Material: Ti2Al2Mo
Method: DFT, PBE
State: relaxed

Calculated values
E above lowest polymorph = 0.104 eV/atom
Calculated total energy = -7.02 eV per atom
Fermi-level density of states = 9.1 states/eV/cell

```
data_Ti2Al2Mo
_space_group_name_H-M_alt 'P 4/m b m'
_space_group_IT_number 127
_space_group_name_Hall '-P 4 2ab'
_cell_length_a 6.869
_cell_length_b 6.869
_cell_length_c 3.445
_cell_angle_alpha 90.00
_cell_angle_beta 90.00
_cell_angle_gamma 90.00
loop_
_atom_site_label
_atom_site_type_symbol
_atom_site_fract_x
_atom_site_fract_y
_atom_site_fract_z
_atom_site_occupancy
Ti1 Ti 0.174 0.326 0.000 1
Al1 Al 0.129 0.629 0.500 1
Mo1 Mo 0.000 0.000 0.500 1
```

Material: LiBe6Ni5
Method: DFT, PBE
State: relaxed

Calculated values
Calculated total energy = -4.79 eV per atom
Fermi-level density of states = 10.7 states/eV/cell

```
data_LiBe6Ni5
_space_group_name_H-M_alt 'C m m m'
_space_group_IT_number 65
_space_group_name_Hall '-C 2 2'
_cell_length_a 3.741
_cell_length_b 11.241
_cell_length_c 5.165
_cell_angle_alpha 90.00
_cell_angle_beta 90.00
_cell_angle_gamma 90.00
loop_
_atom_site_label
_atom_site_type_symbol
_atom_site_fract_x
_atom_site_fract_y
_atom_site_fract_z
_atom_site_occupancy
Li1 Li 0.000 0.000 0.000 1
Be1 Be 0.000 0.172 0.256 1
Be2 Be 0.000 0.500 0.257 1
Ni1 Ni 0.000 0.000 0.500 1
Ni2 Ni 0.000 0.335 0.000 1
Ni3 Ni 0.000 0.338 0.500 1
```

What is the formula in the fourth record? LiBe6Ni5

Fermi-level density of states of number 1 (CsTe2SN)? 5.0 states/eV/cell

calculated total energy of number 2 (KNa2SbBr6)? -3.00 eV per atom

Which of these has the lowest Fermi-level density of states? KNa2SbBr6